Entry from the Alexandria database: crystalline Tl12Hg3Cl5 at its relaxed geometry (PBE).

Computed properties:
**ΔE_f (raw)**: -272 meV/atom
**Size of the total moment**: 0.00 μB per cell
**D(E_F)**: 51.25 states/eV/cell

abc: 15.860 15.860 15.860
angles: 109.47 109.47 109.47
Fractional positions:
Hg: 0.750 0.375 0.125
Hg: 0.875 0.750 0.125
Hg: 0.375 0.750 0.625
Hg: 0.250 0.125 0.375
Hg: 0.875 0.125 0.250
Hg: 0.375 0.625 0.250
Hg: 0.625 0.375 0.750
Hg: 0.125 0.875 0.750
Hg: 0.750 0.875 0.625
Hg: 0.625 0.250 0.375
Hg: 0.125 0.250 0.875
Hg: 0.250 0.625 0.875
Cl: 0.125 0.375 0.250
Cl: 0.000 0.500 0.000
Cl: 0.000 0.000 0.000
Cl: 0.375 0.250 0.125
Cl: 0.500 0.000 0.500
Cl: 0.500 0.500 0.000
Cl: 0.125 0.750 0.375
Cl: 0.750 0.125 0.875
Cl: 0.750 0.625 0.375
Cl: 0.375 0.125 0.750
Cl: 0.625 0.875 0.250
Cl: 0.500 0.500 0.500
Cl: 0.500 0.000 0.000
Cl: 0.000 0.000 0.500
Cl: 0.250 0.375 0.625
Cl: 0.250 0.875 0.125
Cl: 0.000 0.500 0.500
Cl: 0.875 0.250 0.625
Cl: 0.625 0.750 0.875
Cl: 0.875 0.625 0.750
Tl: 0.730 0.127 0.057
Tl: 0.327 0.557 0.430
Tl: 0.943 0.373 0.270
Tl: 0.557 0.230 0.127
Tl: 0.603 0.730 0.673
Tl: 0.943 0.570 0.173
Tl: 0.327 0.770 0.397
Tl: 0.070 0.897 0.127
Tl: 0.570 0.943 0.673
Tl: 0.730 0.603 0.173
Tl: 0.770 0.443 0.373
Tl: 0.827 0.930 0.057
Tl: 0.127 0.730 0.557
Tl: 0.373 0.430 0.103
Tl: 0.103 0.930 0.373
Tl: 0.397 0.127 0.570
Tl: 0.103 0.173 0.230
Tl: 0.443 0.673 0.070
Tl: 0.827 0.897 0.270
Tl: 0.127 0.397 0.070
Tl: 0.373 0.943 0.770
Tl: 0.570 0.627 0.397
Tl: 0.930 0.827 0.557
Tl: 0.770 0.327 0.897
Tl: 0.430 0.373 0.603
Tl: 0.070 0.173 0.443
Tl: 0.230 0.673 0.103
Tl: 0.173 0.103 0.730
Tl: 0.627 0.057 0.230
Tl: 0.873 0.603 0.930
Tl: 0.557 0.327 0.930
Tl: 0.603 0.873 0.430
Tl: 0.897 0.827 0.770
Tl: 0.897 0.070 0.627
Tl: 0.873 0.270 0.443
Tl: 0.173 0.070 0.943
Tl: 0.627 0.570 0.897
Tl: 0.430 0.057 0.327
Tl: 0.270 0.397 0.827
Tl: 0.230 0.557 0.627
Tl: 0.930 0.103 0.873
Tl: 0.673 0.230 0.603
Tl: 0.443 0.770 0.873
Tl: 0.057 0.430 0.827
Tl: 0.397 0.270 0.327
Tl: 0.057 0.627 0.730
Tl: 0.673 0.443 0.570
Tl: 0.270 0.873 0.943